Run w
CsK2TlPb | PBE | relaxed

a b c (Å): 6.9807 6.9807 6.0640
angles (deg): 90.00 90.00 90.00
Closest atoms and distances in Å follow each position.
Positions (direct):
Pb (0.0000, 0.0000, 0.0000)  2 Tl 3.03
Cs (0.5000, 0.5000, 0.5000)  8 K 4.62, 4 Tl 4.94
Tl (0.0000, 0.0000, 0.5000)  2 Pb 3.03
K (0.0000, 0.5000, 0.0000)  2 Pb 3.49
K (0.5000, 0.0000, 0.0000)  2 Pb 3.49

Summary:
V	59.10	A^3/atom
space group	P4/mmm (123)


Run x
CsK2TlPb | PBE | relaxed

a b c (Å): 6.8527 6.8527 5.9959
angles (deg): 90.00 90.00 90.00
Closest atoms and distances in Å follow each position.
Positions (direct):
Pb (0.0000, 0.0000, 0.5000)  2 Tl 3.00
Cs (0.5000, 0.5000, 0.5000)  8 K 4.55, 4 Pb 4.85
Tl (0.0000, 0.0000, 0.0000)  2 Pb 3.00
K (0.0000, 0.5000, 0.0000)  2 Tl 3.43
K (0.5000, 0.0000, 0.0000)  2 Tl 3.43

Summary:
V	56.31	A^3/atom
space group	P4/mmm (123)


So which one wins? Going from most stable to least: run w, run x.


Run w
CsKTlPb | PBE | relaxed

a b c (Å): 6.0541 6.0541 6.0541
angles (deg): 60.00 60.00 60.00
Closest atoms and distances in Å follow each position.
Positions (direct):
Pb (0.2500, 0.2500, 0.2500)  4 K 3.71, 4 Tl 3.71
Cs (0.7500, 0.7500, 0.7500)  4 Tl 3.71, 4 K 3.71
Tl (0.0000, 0.0000, 0.0000)  4 Pb 3.71, 4 Cs 3.71
K (0.5000, 0.5000, 0.5000)  4 Pb 3.71, 4 Cs 3.71

Summary:
V	39.23	A^3/atom
space group	F-43m (216)


Run x
CsKTlPb | PBE | relaxed

a b c (Å): 5.5499 5.5499 7.8714
angles (deg): 90.09 110.58 119.94
Closest atoms and distances in Å follow each position.
Positions (direct):
Cs (0.3862, 0.0583, 0.4445)  3 Tl 3.85, 3 Pb 4.23, 3 K 4.29-4.30
K (0.9852, 0.8569, 0.8421)  3 Pb 3.57, 3 Tl 3.89
Tl (0.5231, 0.6257, 0.1488)  3 Pb 3.26-3.27
Pb (0.7975, 0.2635, 0.0611)  3 Tl 3.26-3.27, 3 K 3.57

Summary:
V	47.98	A^3/atom
space group	Cm (8)


So which one wins? Going from most stable to least: run x, run w.